(1)
Compound: Ti2PO
Source: Alexandria
Functional: GGA-PBE
Structure: optimized geometry

Cell: 5.0222 5.0222 10.0777 Å, 90.00 90.00 90.00°
Space group I-42d (No. 122)
Asymmetric unit:
Ti  0.1817  0.2500  0.1250
P  0.0000  0.0000  0.5000
O  0.0000  0.0000  0.0000

E_form (uncorrected) (meV per atom): -1458
E_tot (eV for the cell shown): -127.952

***

(2)
Compound: Cd2AgRh
Source: Alexandria
Functional: GGA-PBE
Structure: optimized geometry

Cell: 4.1215 4.1215 8.4415 Å, 90.00 90.00 90.00°
Space group I-4m2 (No. 119)
Asymmetric unit:
Cd  0.0000  0.0000  0.0000
Cd  0.0000  0.5000  0.2500
Ag  0.0000  0.0000  0.5000
Rh  0.0000  0.5000  0.7500

E_tot (eV for the cell shown): -24.384

***

(3)
Compound: NiC
Source: Alexandria
Functional: GGA-PBE
Structure: optimized geometry

Cell: 3.8457 3.8457 3.8457 Å, 90.00 90.00 90.00°
Space group Pm-3m (No. 221)
Asymmetric unit:
Ni  0.0000  0.0000  0.5000
C  0.0000  0.5000  0.5000

E_tot (eV for the cell shown): -37.994

***

(4)
Compound: ScU3
Source: Alexandria
Functional: GGA-PBE
Structure: optimized geometry

Cell: 3.9233 4.7511 4.6663 Å, 90.00 90.00 90.00°
Space group Pmm2 (No. 25)
Asymmetric unit:
Sc  0.0000  0.0000  0.0000
U  0.0000  0.5000  0.5569
U  0.5000  0.0000  0.5304
U  0.5000  0.5000  0.1994

E_tot (eV for the cell shown): -38.921

***

(5)
Compound: Mg2TaPt
Source: Alexandria
Functional: GGA-PBE
Structure: optimized geometry

Cell: 6.5122 6.5122 6.5122 Å, 90.00 90.00 90.00°
Space group Fm-3m (No. 225)
Asymmetric unit:
Mg  0.2500  0.2500  0.2500
Ta  0.0000  0.0000  0.0000
Pt  0.0000  0.0000  0.5000

E_tot (eV for the cell shown): -82.445

***

(6)
Compound: SrZr4Tl
Source: Alexandria
Functional: GGA-PBE
Structure: optimized geometry

Cell: 8.5829 8.5829 8.5829 Å, 90.00 90.00 90.00°
Space group F-43m (No. 216)
Asymmetric unit:
Sr  0.0000  0.0000  0.0000
Zr  0.1269  0.1269  0.3731
Tl  0.2500  0.2500  0.7500

E_tot (eV for the cell shown): -144.164

***

(7)
Compound: Be2Cr3
Source: Alexandria
Functional: GGA-PBE
Structure: optimized geometry

Cell: 2.4594 2.4594 30.4562 Å, 90.00 90.00 120.00°
Space group R-3m (No. 166, hexagonal axes)
Asymmetric unit:
Be  0.0000  0.0000  0.1021
Cr  0.0000  0.0000  0.2974
Cr  0.0000  0.0000  0.5000

E_tot (eV for the cell shown): -105.082

***

(8)
Compound: Cr2MoRh
Source: Alexandria
Functional: GGA-PBE
Structure: optimized geometry

Cell: 3.7754 3.7754 7.5877 Å, 90.00 90.00 90.00°
Space group I4/mmm (No. 139)
Asymmetric unit:
Cr  0.0000  0.5000  0.2500
Mo  0.0000  0.0000  0.0000
Rh  0.0000  0.0000  0.5000

E_tot (eV for the cell shown): -73.435

***

(9)
Compound: Sc2ZnAu
Source: Alexandria
Functional: GGA-PBE
Structure: optimized geometry

Cell: 8.5301 3.4511 5.8854 Å, 90.00 103.96 90.00°
Space group C2/m (No. 12)
Asymmetric unit:
Sc  0.2477  0.0000  0.2515
Zn  0.0000  0.0000  0.5000
Au  0.0000  0.5000  0.0000

E_tot (eV for the cell shown): -37.221

***

(10)
Compound: Rb2SiAgI6
Source: Alexandria
Functional: GGA-PBE
Structure: optimized geometry

Cell: 8.2027 8.2027 11.6534 Å, 90.00 90.00 90.00°
Space group I4/mmm (No. 139)
Asymmetric unit:
Rb  0.0000  0.5000  0.2500
Si  0.0000  0.0000  0.0000
Ag  0.0000  0.0000  0.5000
I  0.0000  0.0000  0.2420
I  0.2425  0.2425  0.0000

E_form (uncorrected) (meV per atom): -676
E_tot (eV for the cell shown): -52.536

***

(11)
Compound: Mg5Si6
Source: Alexandria
Functional: GGA-PBE
Structure: optimized geometry

Cell: 29.3246 4.1575 6.9574 Å, 90.00 101.33 90.00°
Space group Cm (No. 8)
Asymmetric unit:
Mg  0.0000  0.0000  0.0000
Mg  0.0233  0.5000  0.3530
Mg  0.0697  0.5000  0.8645
Mg  0.1594  0.0000  0.9419
Mg  0.1933  0.0000  0.4785
Mg  0.2361  0.5000  0.8316
Mg  0.2741  0.0000  0.1798
Mg  0.3143  0.0000  0.6280
Mg  0.4001  0.5000  0.7508
Mg  0.4264  0.5000  0.2963
Si  0.0040  0.0000  0.6078
Si  0.0850  0.0000  0.2104
Si  0.0864  0.0000  0.5734
Si  0.1306  0.5000  0.2618
Si  0.1399  0.5000  0.6348
Si  0.2047  0.5000  0.1740
Si  0.2590  0.5000  0.4752
Si  0.3284  0.5000  0.0520
Si  0.3369  0.5000  0.4044
Si  0.3639  0.0000  0.9864
Si  0.4464  0.0000  0.0438
Si  0.4695  0.0000  0.7102

E_form (uncorrected) (meV per atom): 60
E_tot (eV for the cell shown): -159.382

***

(12)
Compound: NdY4In2
Source: Alexandria
Functional: GGA-PBE
Structure: optimized geometry

Cell: 6.5582 10.7558 6.9027 Å, 90.00 115.45 90.00°
Space group P2_1/c (No. 14)
Asymmetric unit:
Nd  0.0000  0.0000  0.0000
Y  0.0035  0.1678  0.5004
Y  0.4958  0.7210  0.4989
In  0.4464  0.5008  0.1850

E_tot (eV for the cell shown): -74.438

***

(13)
Compound: Tm5PtS4
Source: Alexandria
Functional: GGA-PBE
Structure: optimized geometry

Cell: 3.8749 3.8749 28.0174 Å, 90.00 90.00 90.00°
Space group I4/mmm (No. 139)
Asymmetric unit:
Tm  0.0000  0.0000  0.0000
Tm  0.0000  0.0000  0.2033
Tm  0.0000  0.0000  0.3985
Pt  0.0000  0.0000  0.5000
S  0.0000  0.0000  0.1062
S  0.0000  0.0000  0.3008

E_form (uncorrected) (meV per atom): -1780
E_tot (eV for the cell shown): -125.422

***

(14)
Compound: CaBiRh2
Source: Alexandria
Functional: GGA-PBE
Structure: optimized geometry

Cell: 3.4916 3.4916 6.5426 Å, 90.00 90.00 90.00°
Space group P4/mmm (No. 123)
Asymmetric unit:
Ca  0.0000  0.0000  0.0000
Bi  0.0000  0.0000  0.5000
Rh  0.5000  0.5000  0.2695

E_tot (eV for the cell shown): -21.491

***

(15)
Compound: Be2FeCo
Source: Alexandria
Functional: GGA-PBE
Structure: optimized geometry

Cell: 2.9237 3.7274 7.1243 Å, 90.00 90.00 90.00°
Space group Cmm2 (No. 35)
Asymmetric unit:
Be  0.0000  0.0000  0.0000
Be  0.0000  0.5000  0.2376
Fe  0.0000  0.0000  0.4830
Co  0.0000  0.5000  0.7616

E_tot (eV for the cell shown): -46.032

***

(16)
Compound: CaRuSe2Br
Source: Alexandria
Functional: GGA-PBE
Structure: optimized geometry

Cell: 5.4661 5.4661 5.3757 Å, 90.00 90.00 90.00°
Space group P4/mmm (No. 123)
Asymmetric unit:
Ca  0.0000  0.0000  0.0000
Ru  0.5000  0.5000  0.5000
Se  0.0000  0.5000  0.0000
Br  0.0000  0.0000  0.5000

E_form (uncorrected) (meV per atom): 510
E_tot (eV for the cell shown): -17.368